Run 1
First-principles (PBE) data for BaSb2W after structural relaxation, as listed in the Alexandria database.

Calculated values
Space group: Fm-3m (225)

Unit cell a=5.265 b=5.265 c=5.265 alpha=60.00 beta=60.00 gamma=60.00
Element x y z (fractional)
Ba (0.000, 0.000, 0.000)
Sb (0.250, 0.250, 0.250)
Sb (0.750, 0.750, 0.750)
W (0.500, 0.500, 0.500)

***

Run 2
First-principles (PBE) data for BaSb2W after structural relaxation, as listed in the Alexandria database.

Calculated values
Space group: R3m (160)

Unit cell a=10.390 b=10.390 c=10.390 alpha=19.49 beta=19.49 gamma=19.49
Element x y z (fractional)
Ba (0.000, 0.000, 0.000)
Sb (0.236, 0.236, 0.236)
Sb (0.481, 0.481, 0.481)
W (0.755, 0.755, 0.755)

***

Run 3
First-principles (PBE) data for BaSb2W after structural relaxation, as listed in the Alexandria database.

Calculated values
Space group: Imm2 (44)

Unit cell a=8.574 b=8.574 c=8.574 alpha=155.73 beta=153.74 gamma=36.06
Element x y z (fractional)
Ba (0.000, 0.000, 0.000)
Sb (0.325, 0.825, 0.500)
Sb (0.636, 0.636, 0.000)
W (0.759, 0.259, 0.500)

***

Most stable structure, least stable structure: run 3, run 2.

***

Run 1
First-principles (PBE) data for BaSb2W after structural relaxation, as listed in the Alexandria database.

Calculated values
Space group: P4mm (99)

Unit cell a=3.729 b=3.729 c=8.038 alpha=90.00 beta=90.00 gamma=90.00
Element x y z (fractional)
Ba (0.000, 0.000, 0.000)
Sb (0.000, 0.000, 0.560)
Sb (0.500, 0.500, 0.308)
W (0.500, 0.500, 0.660)

***

Run 2
First-principles (PBE) data for BaSb2W after structural relaxation, as listed in the Alexandria database.

Calculated values
Space group: I-4m2 (119)

Unit cell a=6.213 b=6.213 c=6.213 alpha=136.38 beta=136.38 gamma=63.39
Element x y z (fractional)
Ba (0.000, 0.000, 0.000)
Sb (0.250, 0.750, 0.500)
Sb (0.500, 0.500, 0.000)
W (0.750, 0.250, 0.500)

***

Run 3
First-principles (PBE) data for BaSb2W after structural relaxation, as listed in the Alexandria database.

Calculated values
Space group: P4/mmm (123)

Unit cell a=3.486 b=3.486 c=8.402 alpha=90.00 beta=90.00 gamma=90.00
Element x y z (fractional)
Ba (0.000, 0.000, 0.000)
Sb (0.500, 0.500, 0.312)
Sb (0.500, 0.500, 0.688)
W (0.000, 0.000, 0.500)

***

Run 4
First-principles (PBE) data for BaSb2W after structural relaxation, as listed in the Alexandria database.

Calculated values
Space group: Amm2 (38)

Unit cell a=5.113 b=6.777 c=6.777 alpha=35.66 beta=90.00 gamma=90.00
Element x y z (fractional)
Ba (0.000, 0.000, 0.000)
Sb (0.000, 0.279, 0.279)
Sb (0.500, 0.608, 0.608)
W (0.500, 0.240, 0.240)

***

Most stable structure, least stable structure: run 3, run 2.

***

Run 1
First-principles (PBE) data for BaSb2W after structural relaxation, as listed in the Alexandria database.

Calculated values
Space group: P4/mmm (123)

Unit cell a=4.949 b=4.949 c=4.553 alpha=90.00 beta=90.00 gamma=90.00
Element x y z (fractional)
Ba (0.000, 0.000, 0.000)
Sb (0.000, 0.500, 0.500)
Sb (0.500, 0.000, 0.500)
W (0.500, 0.500, 0.000)

***

Run 2
First-principles (PBE) data for BaSb2W after structural relaxation, as listed in the Alexandria database.

Calculated values
Space group: Cmmm (65)

Unit cell a=5.155 b=5.155 c=4.274 alpha=90.00 beta=90.00 gamma=101.20
Element x y z (fractional)
Ba (0.000, 0.000, 0.000)
Sb (0.000, 0.500, 0.500)
Sb (0.500, 0.000, 0.500)
W (0.500, 0.500, 0.000)

***

Most stable structure, least stable structure: run 2, run 1.

***

Run 1
First-principles (PBE) data for BaSb2W after structural relaxation, as listed in the Alexandria database.

Calculated values
Space group: R-3m (166)

Unit cell a=7.871 b=7.871 c=7.871 alpha=31.82 beta=31.82 gamma=31.82
Element x y z (fractional)
Ba (0.000, 0.000, 0.000)
Sb (0.227, 0.227, 0.227)
Sb (0.773, 0.773, 0.773)
W (0.500, 0.500, 0.500)

***

Run 2
First-principles (PBE) data for BaSb2W after structural relaxation, as listed in the Alexandria database.

Calculated values
Space group: F-43m (216)

Unit cell a=5.335 b=5.335 c=5.335 alpha=60.00 beta=60.00 gamma=60.00
Element x y z (fractional)
Ba (0.000, 0.000, 0.000)
Sb (0.500, 0.500, 0.500)
Sb (0.750, 0.750, 0.750)
W (0.250, 0.250, 0.250)

***

Most stable structure, least stable structure: run 1, run 2.

***

Run 1
First-principles (PBE) data for BaSb2W after structural relaxation, as listed in the Alexandria database.

Calculated values
Space group: Cm (8)

Unit cell a=4.198 b=4.198 c=8.280 alpha=105.55 beta=105.55 gamma=57.65
Element x y z (fractional)
Ba (0.000, 0.000, 0.000)
Sb (0.211, 0.211, 0.674)
Sb (0.432, 0.432, 0.306)
W (0.818, 0.818, 0.484)

***

Run 2
First-principles (PBE) data for BaSb2W after structural relaxation, as listed in the Alexandria database.

Calculated values
Space group: Immm (71)

Unit cell a=6.462 b=6.462 c=6.462 alpha=149.28 beta=118.65 gamma=70.18
Element x y z (fractional)
Ba (0.000, 0.000, 0.000)
Sb (0.302, 0.802, 0.500)
Sb (0.698, 0.198, 0.500)
W (0.500, 0.500, 0.000)

***

Most stable structure, least stable structure: run 1, run 2.

***

Run 1
First-principles (PBE) data for BaSbW3 after structural relaxation, as listed in the Alexandria database.

Calculated values
Space group: Pm-3m (221)

Unit cell a=5.054 b=5.054 c=5.054 alpha=90.00 beta=90.00 gamma=90.00
Element x y z (fractional)
Ba (0.000, 0.000, 0.000)
Sb (0.500, 0.500, 0.500)
W (0.000, 0.000, 0.500)
W (0.000, 0.500, 0.000)
W (0.500, 0.000, 0.000)

***

Run 2
First-principles (PBE) data for BaSbW3 after structural relaxation, as listed in the Alexandria database.

Calculated values
Space group: Pm-3m (221)

Unit cell a=5.088 b=5.088 c=5.088 alpha=90.00 beta=90.00 gamma=90.00
Element x y z (fractional)
Ba (0.000, 0.000, 0.000)
Sb (0.500, 0.500, 0.500)
W (0.000, 0.500, 0.500)
W (0.500, 0.000, 0.500)
W (0.500, 0.500, 0.000)

***

Most stable structure, least stable structure: run 2, run 1.

***

Run 1
First-principles (PBE) data for BaSbW after structural relaxation, as listed in the Alexandria database.

Calculated values
Space group: P3m1 (156)

Unit cell a=3.551 b=3.551 c=7.516 alpha=90.00 beta=90.00 gamma=120.00
Element x y z (fractional)
Ba (0.000, 0.000, 0.000)
Sb (0.667, 0.333, 0.406)
W (0.333, 0.667, 0.648)

***

Run 2
First-principles (PBE) data for BaSbW after structural relaxation, as listed in the Alexandria database.

Calculated values
Space group: I4mm (107)

Unit cell a=6.852 b=6.852 c=6.852 alpha=149.48 beta=149.48 gamma=43.71
Element x y z (fractional)
Ba (0.000, 0.000, 0.000)
Sb (0.718, 0.718, 0.000)
W (0.305, 0.305, 0.000)

***

Most stable structure, least stable structure: run 2, run 1.

***

Run 1
First-principles (PBE) data for BaSbW after structural relaxation, as listed in the Alexandria database.

Calculated values
Space group: F-43m (216)

Unit cell a=5.452 b=5.452 c=5.452 alpha=60.00 beta=60.00 gamma=60.00
Element x y z (fractional)
Ba (0.000, 0.000, 0.000)
Sb (0.250, 0.250, 0.250)
W (0.750, 0.750, 0.750)

***

Run 2
First-principles (PBE) data for BaSbW after structural relaxation, as listed in the Alexandria database.

Calculated values
Space group: P-6m2 (187)

Unit cell a=4.654 b=4.654 c=5.064 alpha=90.00 beta=90.00 gamma=120.00
Element x y z (fractional)
Ba (0.000, 0.000, 0.000)
Sb (0.667, 0.333, 0.500)
W (0.333, 0.667, 0.500)

***

Most stable structure, least stable structure: run 2, run 1.

***

Run 1
First-principles (PBE) data for Ba2YSb2 after structural relaxation, as listed in the Alexandria database.

Calculated values
Space group: P4/mbm (127)

Unit cell a=8.738 b=8.738 c=4.940 alpha=90.00 beta=90.00 gamma=90.00
Element x y z (fractional)
Ba (0.142, 0.358, 0.000)
Ba (0.358, 0.858, 0.000)
Ba (0.642, 0.142, 0.000)
Ba (0.858, 0.642, 0.000)
Y (0.000, 0.000, 0.500)
Y (0.500, 0.500, 0.500)
Sb (0.169, 0.669, 0.500)
Sb (0.331, 0.169, 0.500)
Sb (0.669, 0.831, 0.500)
Sb (0.831, 0.331, 0.500)

***

Run 2
First-principles (PBE) data for Ba2YSb2 after structural relaxation, as listed in the Alexandria database.

Calculated values
Space group: Ibam (72)

Unit cell a=8.903 b=8.903 c=8.903 alpha=123.92 beta=76.26 gamma=132.81
Element x y z (fractional)
Ba (0.146, 0.154, 0.300)
Ba (0.354, 0.654, 0.008)
Ba (0.646, 0.346, 0.992)
Ba (0.854, 0.846, 0.700)
Y (0.250, 0.750, 0.500)
Y (0.750, 0.250, 0.500)
Sb (0.109, 0.736, 0.844)
Sb (0.391, 0.236, 0.627)
Sb (0.609, 0.764, 0.373)
Sb (0.891, 0.264, 0.156)

***

Most stable structure, least stable structure: run 2, run 1.

***

Run 1
First-principles (PBE) data for BaY3Sb after structural relaxation, as listed in the Alexandria database.

Calculated values
Space group: Pm-3m (221)

Unit cell a=5.635 b=5.635 c=5.635 alpha=90.00 beta=90.00 gamma=90.00
Element x y z (fractional)
Ba (0.000, 0.000, 0.000)
Y (0.000, 0.000, 0.500)
Y (0.000, 0.500, 0.000)
Y (0.500, 0.000, 0.000)
Sb (0.500, 0.500, 0.500)

***

Run 2
First-principles (PBE) data for BaY3Sb after structural relaxation, as listed in the Alexandria database.

Calculated values
Space group: Pm-3m (221)

Unit cell a=5.896 b=5.896 c=5.896 alpha=90.00 beta=90.00 gamma=90.00
Element x y z (fractional)
Ba (0.000, 0.000, 0.000)
Y (0.000, 0.500, 0.500)
Y (0.500, 0.000, 0.500)
Y (0.500, 0.500, 0.000)
Sb (0.500, 0.500, 0.500)

***

Most stable structure, least stable structure: run 2, run 1.

***

Run 1
First-principles (PBE) data for BaZn3Sb3 after structural relaxation, as listed in the Alexandria database.

Calculated values
Space group: Pm-3n (223)

Unit cell a=7.523 b=7.523 c=7.523 alpha=90.00 beta=90.00 gamma=90.00
Element x y z (fractional)
Ba (0.000, 0.000, 0.000)
Ba (0.500, 0.500, 0.500)
Zn (0.000, 0.250, 0.500)
Zn (0.000, 0.750, 0.500)
Zn (0.250, 0.500, 0.000)
Zn (0.500, 0.000, 0.250)
Zn (0.500, 0.000, 0.750)
Zn (0.750, 0.500, 0.000)
Sb (0.000, 0.500, 0.250)
Sb (0.000, 0.500, 0.750)
Sb (0.250, 0.000, 0.500)
Sb (0.500, 0.250, 0.000)
Sb (0.500, 0.750, 0.000)
Sb (0.750, 0.000, 0.500)

***

Run 2
First-principles (PBE) data for BaZn3Sb3 after structural relaxation, as listed in the Alexandria database.

Calculated values
Space group: P6_3/m (176)

Unit cell a=10.608 b=10.608 c=4.621 alpha=90.00 beta=90.00 gamma=120.00
Element x y z (fractional)
Ba (0.333, 0.667, 0.250)
Ba (0.667, 0.333, 0.750)
Zn (0.064, 0.658, 0.750)
Zn (0.342, 0.406, 0.750)
Zn (0.406, 0.064, 0.250)
Zn (0.594, 0.936, 0.750)
Zn (0.658, 0.594, 0.250)
Zn (0.936, 0.342, 0.250)
Sb (0.084, 0.399, 0.750)
Sb (0.315, 0.916, 0.750)
Sb (0.399, 0.315, 0.250)
Sb (0.601, 0.685, 0.750)
Sb (0.685, 0.084, 0.250)
Sb (0.916, 0.601, 0.250)

***

Most stable structure, least stable structure: run 2, run 1.

***

Run 1
First-principles (PBE) data for BaZr3Sb after structural relaxation, as listed in the Alexandria database.

Calculated values
Space group: Pm-3m (221)

Unit cell a=5.286 b=5.286 c=5.286 alpha=90.00 beta=90.00 gamma=90.00
Element x y z (fractional)
Ba (0.000, 0.000, 0.000)
Zr (0.000, 0.000, 0.500)
Zr (0.000, 0.500, 0.000)
Zr (0.500, 0.000, 0.000)
Sb (0.500, 0.500, 0.500)

***

Run 2
First-principles (PBE) data for BaZr3Sb after structural relaxation, as listed in the Alexandria database.

Calculated values
Space group: Pm-3m (221)

Unit cell a=5.492 b=5.492 c=5.492 alpha=90.00 beta=90.00 gamma=90.00
Element x y z (fractional)
Ba (0.000, 0.000, 0.000)
Zr (0.000, 0.500, 0.500)
Zr (0.500, 0.000, 0.500)
Zr (0.500, 0.500, 0.000)
Sb (0.500, 0.500, 0.500)

***

Most stable structure, least stable structure: run 2, run 1.